Compound: MnZnMo2
Source: Alexandria via LeMat-Bulk
Functional: PBE-GGA
Structure: relaxed

Results
- symmetry = I-4m2
- crystal system = tetragonal
- energy of formation (meV/atom) = 201
- ρ (Mg/m³) = 8.82
- raw total energy (eV/atom) = -7.825

a = 3.976 Å, b = 3.976 Å, c = 7.441 Å
α = 90.00°, β = 90.00°, γ = 90.00°
Fractional coordinates of all 8 atoms:
Mn (0.000, 0.000, 0.000)
Mn (0.500, 0.500, 0.500)
Zn (0.000, 0.500, 0.250)
Zn (0.500, 0.000, 0.750)
Mo (0.000, 0.000, 0.500)
Mo (0.000, 0.500, 0.750)
Mo (0.500, 0.000, 0.250)
Mo (0.500, 0.500, 0.000)



Compound: Er3Re5N12
Source: Alexandria via LeMat-Bulk
Functional: PBE-GGA
Structure: relaxed

Results
- symmetry = Ia-3d
- crystal system = cubic
- formation energy (no corrections) (eV/f.u.) = -10.20
- ρ (Mg/m³) = 10.40
- raw total energy (eV/atom) = -9.301

a = 10.993 Å, b = 10.993 Å, c = 10.993 Å
α = 109.47°, β = 109.47°, γ = 109.47°
Fractional coordinates of all 80 atoms:
Er (0.125, 0.250, 0.375)
Er (0.125, 0.375, 0.750)
Er (0.250, 0.375, 0.125)
Er (0.250, 0.875, 0.625)
Er (0.375, 0.125, 0.250)
Er (0.375, 0.750, 0.125)
Er (0.625, 0.250, 0.875)
Er (0.625, 0.875, 0.750)
Er (0.750, 0.125, 0.375)
Er (0.750, 0.625, 0.875)
Er (0.875, 0.625, 0.250)
Er (0.875, 0.750, 0.625)
Re (0.000, 0.000, 0.000)
Re (0.000, 0.000, 0.500)
Re (0.000, 0.500, 0.000)
Re (0.000, 0.500, 0.500)
Re (0.125, 0.750, 0.875)
Re (0.125, 0.875, 0.250)
Re (0.250, 0.125, 0.875)
Re (0.250, 0.625, 0.375)
Re (0.375, 0.250, 0.625)
Re (0.375, 0.625, 0.750)
Re (0.500, 0.000, 0.000)
Re (0.500, 0.000, 0.500)
Re (0.500, 0.500, 0.000)
Re (0.500, 0.500, 0.500)
Re (0.625, 0.375, 0.250)
Re (0.625, 0.750, 0.375)
Re (0.750, 0.375, 0.625)
Re (0.750, 0.875, 0.125)
Re (0.875, 0.125, 0.750)
Re (0.875, 0.250, 0.125)
N (0.019, 0.200, 0.117)
N (0.019, 0.319, 0.901)
N (0.082, 0.700, 0.681)
N (0.082, 0.883, 0.401)
N (0.099, 0.617, 0.418)
N (0.099, 0.981, 0.681)
N (0.117, 0.019, 0.200)
N (0.117, 0.599, 0.918)
N (0.181, 0.200, 0.582)
N (0.181, 0.481, 0.599)
N (0.200, 0.117, 0.019)
N (0.200, 0.582, 0.181)
N (0.300, 0.319, 0.918)
N (0.300, 0.481, 0.383)
N (0.319, 0.901, 0.019)
N (0.319, 0.918, 0.300)
N (0.383, 0.300, 0.481)
N (0.383, 0.582, 0.901)
N (0.401, 0.082, 0.883)
N (0.401, 0.819, 0.519)
N (0.418, 0.099, 0.617)
N (0.418, 0.819, 0.800)
N (0.481, 0.383, 0.300)
N (0.481, 0.599, 0.181)
N (0.519, 0.401, 0.819)
N (0.519, 0.617, 0.700)
N (0.582, 0.181, 0.200)
N (0.582, 0.901, 0.383)
N (0.599, 0.181, 0.481)
N (0.599, 0.918, 0.117)
N (0.617, 0.418, 0.099)
N (0.617, 0.700, 0.519)
N (0.681, 0.082, 0.700)
N (0.681, 0.099, 0.981)
N (0.700, 0.519, 0.617)
N (0.700, 0.681, 0.082)
N (0.800, 0.418, 0.819)
N (0.800, 0.883, 0.981)
N (0.819, 0.519, 0.401)
N (0.819, 0.800, 0.418)
N (0.883, 0.401, 0.082)
N (0.883, 0.981, 0.800)
N (0.901, 0.019, 0.319)
N (0.901, 0.383, 0.582)
N (0.918, 0.117, 0.599)
N (0.918, 0.300, 0.319)
N (0.981, 0.681, 0.099)
N (0.981, 0.800, 0.883)



Compound: ThMn2Ge2C
Source: Alexandria via LeMat-Bulk
Functional: PBE-GGA
Structure: relaxed

Results
- symmetry = P4/mmm
- crystal system = tetragonal
- energy of formation (meV/atom) = -351
- ρ (Mg/m³) = 9.45
- raw total energy (eV/atom) = -7.721

a = 4.004 Å, b = 4.004 Å, c = 5.472 Å
α = 90.00°, β = 90.00°, γ = 90.00°
Fractional coordinates of all 6 atoms:
Th (0.000, 0.000, 0.000)
Mn (0.000, 0.500, 0.500)
Mn (0.500, 0.000, 0.500)
Ge (0.500, 0.500, 0.230)
Ge (0.500, 0.500, 0.770)
C (0.000, 0.000, 0.500)



Compound: Sc3TcO
Source: Alexandria via LeMat-Bulk
Functional: PBE-GGA
Structure: relaxed

Results
- symmetry = P-1
- crystal system = triclinic
- formation energy (no corrections) (eV/f.u.) = -6.22
- energy above the lowest structure with this stoichiometry (meV/atom) = 78
- ρ (Mg/m³) = 5.02
- raw total energy (eV/atom) = -8.109

a = 5.009 Å, b = 6.160 Å, c = 6.161 Å
α = 60.00°, β = 89.99°, γ = 89.84°
Fractional coordinates of all 10 atoms:
Sc (0.249, 0.237, 0.100)
Sc (0.250, 0.100, 0.663)
Sc (0.251, 0.663, 0.237)
Sc (0.749, 0.337, 0.763)
Sc (0.750, 0.900, 0.337)
Sc (0.751, 0.763, 0.900)
Tc (0.250, 0.667, 0.667)
Tc (0.750, 0.333, 0.333)
O (0.000, 0.000, 0.000)
O (0.500, 0.000, 0.000)



> ρ of number 4 (Sc3TcO)?

5.02 Mg/m³